This record from the Alexandria database describes a relaxed structure of NpScMn2O6. The functional is PBE+U.

Summary:
crystal system = trigonal
uncorrected energy = -8.688 eV per atom
V = 12.49 Å³ per atom

a b c (Å): 5.4120 5.4120 14.7753
angles (deg): 90.00 90.00 120.00
Space group R3 (No. 146, hexagonal axes)
Unique sites:
Np 0.0000 0.0000 0.0000 x3
Sc 0.0000 0.0000 0.5080 x3
Mn 0.0000 0.0000 0.3059 x3
Mn 0.0000 0.0000 0.7908 x3
O 0.0263 0.6721 0.5728 x9
O 0.0411 0.3677 0.0710 x9